Material: Zr2FeIr
Method: DFT, GGA-PBE
State: optimized geometry Values from VASP.

Output
energy of formation	-0.339	eV/atom
space-group type	Imm2

Geometry as Quantum ESPRESSO input:
```
&SYSTEM
  ibrav = 0, nat = 4, ntyp = 3
/
ATOMIC_SPECIES
Zr 91.22 Zr.upf
Ir 192.22 Ir.upf
Fe 55.84 Fe.upf
CELL_PARAMETERS angstrom
-4.0135 -2.9694 2.2827
-1.8619 -2.0164 4.7544
-3.1538 2.4274 1.8095
ATOMIC_POSITIONS crystal
Zr 0.9899 0.9899 0.0099
Ir 0.2426 0.2426 0.2572
Zr 0.7554 0.7554 0.7448
Fe 0.5121 0.5121 0.4881
```